Record 1
12
Lattice="4.9322 0.4770 -1.4870 -1.5648 6.6185 -3.0758 0.0011 -0.0276 8.9990" Properties=species:S:1:pos:R:3 comment="Tb6Hg5Ir PBE relaxed" crystal_system=orthorhombic dos_ef_per_ev_cell=7.94 ef_ev_per_fu=-6.71 pbc="T T T"
Ir 0.0000 0.0000 0.0000
Tb 0.1585 2.6436 1.3716
Tb -0.6744 6.1663 -0.2654
Tb 2.1132 1.7318 -1.4375
Tb 1.2542 5.3637 -3.1252
Tb 4.0429 0.9016 4.7017
Tb 3.2100 4.4243 3.0647
Hg 0.2798 5.5285 2.6971
Hg 2.2432 4.7167 -0.0506
Hg -0.7824 3.3092 -1.5379
Hg 1.1253 2.3512 4.4869
Hg 3.0887 1.5394 1.7392

Record 2
11
Lattice="6.0499 0.4431 3.6778 -1.3149 5.5368 3.4702 0.6874 0.7020 6.6008" Properties=species:S:1:pos:R:3 comment="BaSi4Pd6 PBE relaxed" raw_formation_energy_ev_per_atom=-0.606 crystal_system=triclinic dos_ef_per_ev_cell=4.54 relative_energy_ev_per_atom=0.0415 pbc="T T T"
Ba 4.6472 5.8540 7.3089
Si 2.5458 1.1527 4.0632
Si 4.2693 5.2821 10.8283
Si 1.1429 3.3938 5.0015
Si 2.5497 3.0874 8.2023
Pd 2.2796 5.2093 9.3308
Pd 4.7581 3.4256 9.3453
Pd 3.3980 2.6853 5.8589
Pd 0.6052 4.2907 7.2776
Pd 0.2069 1.7227 3.3670
Pd 3.7642 0.9984 8.3354

Record 3
5
Lattice="6.7353 0.0000 0.0000 0.0000 6.7353 0.0000 0.0000 0.0000 6.7353" Properties=species:S:1:pos:R:3 comment="K3LiTe PBE relaxed" raw_formation_energy_ev_per_atom=-0.400 crystal_system=cubic dos_ef_per_ev_cell=0.06 relative_energy_ev_per_atom=0.0000 pbc="T T T"
K 0.0000 3.3676 0.0000
K 0.0000 0.0000 3.3676
K 3.3676 0.0000 0.0000
Te 0.0000 0.0000 0.0000
Li 3.3676 3.3676 3.3676

Record 4
4
Lattice="-1.7001 0.0514 -4.6434 -4.5815 -1.5862 -0.9733 -3.5077 3.2289 -1.3132" Properties=species:S:1:pos:R:3 comment="SmMgInIr PBE relaxed" crystal_system=cubic dos_ef_per_ev_cell=2.46 ef_ev_per_fu=-1.34 pbc="T T T"
Mg -7.3420 1.2705 -5.1974
Ir 0.0000 0.0000 0.0000
Sm -2.4473 0.4235 -1.7325
In -4.8946 0.8470 -3.4650